Crystalline NdHo2Sb at its relaxed geometry, computed with PBE.

excess energy over the best structure of this formula in the dataset: 315 meV/atom
total magnetization: 0.0000 μB/atom
V: 446.3 Å³ per cell
energy relative to the elements, uncorrected: -0.2442 eV/atom
raw total energy: -4.756 eV/atom

a b c (Å): 7.6423 7.6423 7.6423
angles (deg): 90.00 90.00 90.00
Space group Fm-3m (No. 225)
Asymmetric unit:
Nd  0.0000  0.0000  0.0000 [4 per cell]
Ho  0.2500  0.2500  0.2500 [8 per cell]
Sb  0.0000  0.0000  0.5000 [4 per cell]



Crystalline Li3AgS4O12 at its relaxed geometry, computed with PBE.

total magnetization: 0.0908 μB/atom
V: 843.5 Å³ per cell
energy relative to the elements, uncorrected: -0.9804 eV/atom
raw total energy: -5.210 eV/atom

a b c (Å): 10.2297 10.2297 9.3068
angles (deg): 90.00 90.00 120.00
Space group R32 (No. 155, hexagonal axes)
Asymmetric unit:
Li  0.0000  0.5550  0.0000 [9 per cell]
Ag  0.0000  0.0000  0.0000 [3 per cell]
S  0.0000  0.0000  0.5000 [3 per cell]
S  0.0000  0.4560  0.5000 [9 per cell]
O  0.0000  0.6007  0.5000 [9 per cell]
O  0.0000  0.8542  0.5000 [9 per cell]
O  0.0060  0.2155  0.2405 [18 per cell]



| no. | Fermi-level density of states (states/eV/cell) |
| --- | --- |
| 1 | 18.68 |
| 2 | 29.71 |